1.
PBEsol NpSi2, optimized geometry; space-group type = No. 141; electronic total energy = -8.626 eV per atom; energy relative to the elements, uncorrected = -17.2 kJ per mole of atoms; crystal system = tetragonal; V = 17.5 Å³ per atom
1.0
-1.9260 1.9260 7.0785
1.9260 -1.9260 7.0785
1.9260 1.9260 -7.0785
Np Si
2 4
Cartesian
1.9260 0.9630 1.7696
0.0000 0.9630 5.3089
1.9260 -0.9630 4.1520
1.9260 -0.9630 6.4657
0.0000 2.8890 0.6128
0.0000 2.8890 2.9265

2.
PBEsol NpSn3, optimized geometry; space-group type = No. 221; energy of formation = -0.0732 eV/atom; electronic total energy = -6.730 eV per atom; crystal system = cubic; V = 23.6 Å³ per atom
1.0
4.5555 0.0000 0.0000
0.0000 4.5555 0.0000
0.0000 0.0000 4.5555
Np Sn
1 3
Cartesian
0.0000 0.0000 0.0000
0.0000 2.2777 2.2777
2.2777 0.0000 2.2777
2.2777 2.2777 0.0000

3.
PBEsol NpTe3, optimized geometry; space-group type = No. 63; electronic total energy = -6.522 eV per atom; energy relative to the elements, uncorrected = -40.1 kJ per mole of atoms; crystal system = orthorhombic; V = 28.5 Å³ per atom
1.0
2.1505 -12.3106 0.0000
2.1505 12.3106 0.0000
0.0000 0.0000 4.3079
Np Te
2 6
Cartesian
2.1505 8.1393 3.2310
2.1505 -8.1393 1.0770
2.1505 10.4939 1.0770
2.1505 4.9877 3.2310
2.1505 1.8224 1.0770
2.1505 -1.8224 3.2310
2.1505 -4.9877 1.0770
2.1505 -10.4939 3.2310

4.
PBEsol O, optimized geometry; space-group type = No. 12; electronic total energy = -5.129 eV per atom; energy relative to the elements, uncorrected = 11.6 kJ per mole of atoms; crystal system = monoclinic; V = 18.8 Å³ per atom
1.0
2.4203 -2.4351 0.0000
2.4203 2.4351 0.0000
-1.8655 0.0000 3.1877
O
2
Cartesian
0.3605 0.0000 0.4962
2.6147 0.0000 2.6915

5.
PBEsol O, optimized geometry; space-group type = No. 166; electronic total energy = -5.124 eV per atom; energy relative to the elements, uncorrected = 12.1 kJ per mole of atoms; crystal system = trigonal; V = 19.0 Å³ per atom
1.0
1.7080 0.9861 3.7594
-1.7080 0.9861 3.7594
0.0000 -1.9722 3.7594
O
2
Cartesian
0.0000 0.0000 0.6138
0.0000 0.0000 10.6645

6.
PBEsol O, optimized geometry; space-group type = No. 13; electronic total energy = -5.249 eV per atom; energy relative to the elements, uncorrected = 0.0 kJ per mole of atoms; crystal system = monoclinic; V = 12.4 Å³ per atom
1.0
4.2159 0.0000 0.0000
0.0000 4.1256 0.0000
-0.9524 0.0000 2.8593
O
4
Cartesian
0.3428 0.7278 0.9083
-0.1334 3.3978 2.3380
3.3968 0.7278 0.5213
2.9206 3.3978 1.9510

Question: Which of these has the lowest V?
Answer: number 6